1.
Compound: LiGeSe3
Source: Alexandria via LeMat-Bulk
Functional: PBE
Structure: optimized geometry

The structure belongs to space group Pm-3m (No. 221); the cell edges are 4.7284, 4.7284 and 4.7284 Å and the angles 90.00°, 90.00° and 90.00°. Symmetry generates all atoms from Li at (0.0000, 0.0000, 0.0000), Ge at (0.5000, 0.5000, 0.5000) and Se at (0.0000, 0.0000, 0.5000).

As for the density of states at the Fermi level: 4.22 states/eV per cell. The calculation puts the formation energy (no corrections) at 0.26 eV per atom. The energy above the lowest structure with this stoichiometry comes out at 0.662 eV per atom. The total magnetic moment is 0.00 μB per formula unit.


2.
Compound: LiGeSe
Source: Alexandria via LeMat-Bulk
Functional: PBE
Structure: optimized geometry

The structure belongs to space group C2/m (No. 12); the cell edges are 8.2262, 3.7951 and 8.2180 Å and the angles 90.00°, 95.01° and 90.00°. Symmetry generates all atoms from Li at (0.1616, 0.0000, 0.1194), Ge at (0.1523, 0.5000, 0.5638) and Se at (0.1268, 0.0000, 0.7947).

As for the density of states at the Fermi level: 0.52 states/eV per cell. The calculation puts the formation energy (no corrections) at -0.56 eV per atom. The energy above the lowest structure with this stoichiometry comes out at 0.107 eV per atom. The total magnetic moment is 0.00 μB per formula unit.


3.
Compound: LiGeSe2
Source: Alexandria via LeMat-Bulk
Functional: PBE
Structure: optimized geometry

The structure belongs to space group I-42d (No. 122); the cell edges are 5.8739, 5.8739 and 12.2522 Å and the angles 90.00°, 90.00° and 90.00°. Symmetry generates all atoms from Li at (0.0000, 0.0000, 0.0000), Ge at (0.0000, 0.0000, 0.5000) and Se at (0.2408, 0.2500, 0.6250).

As for the density of states at the Fermi level: 12.70 states/eV per cell. The calculation puts the formation energy (no corrections) at -0.53 eV per atom. The total magnetic moment is 0.00 μB per formula unit.


4.
Compound: LiGe2Se6
Source: Alexandria via LeMat-Bulk
Functional: PBE
Structure: optimized geometry

The structure belongs to space group C2/c (No. 15); the cell edges are 13.8802, 10.5582 and 7.3031 Å and the angles 90.00°, 101.03° and 90.00°. Symmetry generates all atoms from Li at (0.0000, 0.1111, 0.2500), Ge at (0.1996, 0.4184, 0.1613), Se at (0.1213, 0.0988, 0.7906), Se at (0.1305, 0.4184, 0.4409) and Se at (0.1468, 0.1921, 0.1057).

As for the density of states at the Fermi level: 12.50 states/eV per cell. The calculation puts the formation energy (no corrections) at -0.23 eV per atom. The total magnetic moment is 0.00 μB per formula unit.


5.
Compound: LiGeSe
Source: Alexandria via LeMat-Bulk
Functional: PBE
Structure: optimized geometry

The structure belongs to space group C2/m (No. 12); the cell edges are 7.4075, 4.3030 and 9.1489 Å and the angles 90.00°, 107.74° and 90.00°. Symmetry generates all atoms from Li at (0.1580, 0.0000, 0.3673), Ge at (0.1833, 0.5000, 0.0423) and Se at (0.1950, 0.0000, 0.6820).

As for the density of states at the Fermi level: 1.11 states/eV per cell. The calculation puts the formation energy (no corrections) at -0.67 eV per atom. The energy above the lowest structure with this stoichiometry comes out at 0.000 eV per atom. The total magnetic moment is 0.00 μB per formula unit.


6.
Compound: LiGeSe2
Source: Alexandria via LeMat-Bulk
Functional: PBE
Structure: optimized geometry

The structure belongs to space group R3m (No. 160, hexagonal axes); the cell edges are 3.6796, 3.6796 and 20.8723 Å and the angles 90.00°, 90.00° and 120.00°. Symmetry generates all atoms from Li at (0.0000, 0.0000, 0.0000), Ge at (0.0000, 0.0000, 0.8325), Se at (0.0000, 0.0000, 0.4140) and Se at (0.0000, 0.0000, 0.5827).

As for the density of states at the Fermi level: 4.83 states/eV per cell. The calculation puts the formation energy (no corrections) at -0.43 eV per atom. The total magnetic moment is 0.00 μB per formula unit.


7.
Compound: LiGeSe3
Source: Alexandria via LeMat-Bulk
Functional: PBE
Structure: optimized geometry

The structure belongs to space group P2_1/c (No. 14); the cell edges are 7.0367, 8.4124 and 10.8803 Å and the angles 90.00°, 128.95° and 90.00°. Symmetry generates all atoms from Li at (0.2454, 0.0482, 0.1900), Ge at (0.3617, 0.6165, 0.4275), Se at (0.0233, 0.0491, 0.3045), Se at (0.2485, 0.7355, 0.5774) and Se at (0.4153, 0.2058, 0.6294).

The calculation puts the formation energy (no corrections) at -0.41 eV per atom. The energy above the lowest structure with this stoichiometry comes out at 0.000 eV per atom. The total magnetic moment is 0.00 μB per formula unit.


8.
Compound: Li2GeSe3
Source: Alexandria via LeMat-Bulk
Functional: PBE
Structure: optimized geometry

The structure belongs to space group C2/c (No. 15); the cell edges are 12.7120, 6.4392 and 7.3918 Å and the angles 90.00°, 114.23° and 90.00°. Symmetry generates all atoms from Li at (0.1437, 0.1064, 0.0899), Ge at (0.0000, 0.4035, 0.2500), Se at (0.0000, 0.0352, 0.2500) and Se at (0.1446, 0.4700, 0.6462).

The calculation puts the formation energy (no corrections) at -0.68 eV per atom. The energy above the lowest structure with this stoichiometry comes out at 0.107 eV per atom. The total magnetic moment is 0.00 μB per formula unit.


9.
Compound: Li4GeSe4
Source: Alexandria via LeMat-Bulk
Functional: PBE
Structure: optimized geometry

The structure belongs to space group I-42m (No. 121); the cell edges are 6.2731, 6.2731 and 10.9417 Å and the angles 90.00°, 90.00° and 90.00°. Symmetry generates all atoms from Li at (0.0000, 0.0000, 0.2084), Li at (0.0000, 0.5000, 0.0000), Ge at (0.0000, 0.0000, 0.5000) and Se at (0.2147, 0.2147, 0.6303).

As for the density of states at the Fermi level: 0.00 states/eV per cell. The calculation puts the formation energy (no corrections) at -0.89 eV per atom. The energy above the lowest structure with this stoichiometry comes out at 0.033 eV per atom. The total magnetic moment is 0.00 μB per formula unit.


10.
Compound: LiGeSe
Source: Alexandria via LeMat-Bulk
Functional: PBE
Structure: optimized geometry

The structure belongs to space group I4mm (No. 107); the cell edges are 3.6854, 3.6854 and 10.3615 Å and the angles 90.00°, 90.00° and 90.00°. Symmetry generates all atoms from Li at (0.0000, 0.0000, 0.0000), Ge at (0.0000, 0.0000, 0.7114) and Se at (0.0000, 0.0000, 0.4844).

As for the density of states at the Fermi level: 2.45 states/eV per cell. The calculation puts the formation energy (no corrections) at -0.30 eV per atom. The energy above the lowest structure with this stoichiometry comes out at 0.373 eV per atom. The total magnetic moment is 0.00 μB per formula unit.


11.
Compound: LiGeSe
Source: Alexandria via LeMat-Bulk
Functional: PBE
Structure: optimized geometry

The structure belongs to space group P-1 (No. 2); the cell edges are 3.7868, 3.7873 and 8.5474 Å and the angles 90.07°, 90.15° and 90.00°. Symmetry generates all atoms from Li at (0.2447, 0.2479, 0.1454), Ge at (0.2503, 0.2501, 0.5369) and Se at (0.2549, 0.2521, 0.8172).

As for the density of states at the Fermi level: 1.00 states/eV per cell. The calculation puts the formation energy (no corrections) at -0.63 eV per atom. The energy above the lowest structure with this stoichiometry comes out at 0.039 eV per atom. The total magnetic moment is 0.00 μB per formula unit.


12.
Compound: LiGeSe3
Source: Alexandria via LeMat-Bulk
Functional: PBE
Structure: optimized geometry

The structure belongs to space group P6_322 (No. 182); the cell edges are 6.2000, 6.2000 and 6.5045 Å and the angles 90.00°, 90.00° and 120.00°. Symmetry generates all atoms from Li at (0.3333, 0.6667, 0.2500), Ge at (0.0000, 0.0000, 0.2500) and Se at (0.0000, 0.3272, 0.5000).

As for the density of states at the Fermi level: 3.63 states/eV per cell. The calculation puts the formation energy (no corrections) at -0.27 eV per atom. The energy above the lowest structure with this stoichiometry comes out at 0.137 eV per atom. The total magnetic moment is 0.00 μB per formula unit.